(1)
Density functional theory data (PBE) for a relaxed structure of Y2MgZr.

DFT total energy (eV/atom): -5.647

Unit cell a=11.1128 b=3.3500 c=5.9960 alpha=90.00 beta=100.72 gamma=90.00
Closest atoms and distances in Å follow each position.
Space group C2/m (No. 12)
Symmetry-distinct sites (fractional):
Y 0.2483 0.0000 0.2580 x4  6 Y 3.35-3.52, 3 Zr 3.35, 3 Mg 3.35-3.44
Mg 0.0000 0.5000 0.0000 x2  2 Mg 3.35, 6 Y 3.35-3.44, 4 Zr 3.43
Zr 0.0000 0.0000 0.5000 x2  6 Y 3.35, 2 Zr 3.35, 4 Mg 3.43


(2)
Density functional theory data (PBE) for a relaxed structure of Y2MgZr.

DFT total energy (eV/atom): -5.581

Unit cell a=7.5530 b=7.5530 c=7.5530 alpha=90.00 beta=90.00 gamma=90.00
Closest atoms and distances in Å follow each position.
Space group F-43m (No. 216)
Symmetry-distinct sites (fractional):
Y 0.0000 0.0000 0.0000 x4  4 Y 3.27, 4 Zr 3.27
Y 0.2500 0.2500 0.2500 x4  4 Mg 3.27, 4 Y 3.27
Mg 0.0000 0.0000 0.5000 x4  4 Zr 3.27, 4 Y 3.27
Zr 0.2500 0.2500 0.7500 x4  4 Mg 3.27, 4 Y 3.27


(3)
Density functional theory data (PBE) for a relaxed structure of YMg2Zr.

Excess energy over the best structure of this formula in the dataset (meV per atom): 135

Unit cell a=3.0942 b=5.5156 c=5.8733 alpha=90.00 beta=98.36 gamma=90.00
Closest atoms and distances in Å follow each position.
Space group P2/m (No. 10)
Symmetry-distinct sites (fractional):
Y 0.0000 0.0000 0.0000 x1  2 Y 3.09, 2 Zr 3.11, 4 Mg 3.32
Mg 0.2690 0.5000 0.7373 x2  5 Mg 3.03-3.31, 2 Zr 3.22, 2 Y 3.32
Zr 0.5000 0.0000 0.5000 x1  2 Zr 3.09, 2 Y 3.11, 4 Mg 3.22


(4)
Density functional theory data (PBE) for a relaxed structure of Y2MgZr.

DFT total energy (eV/atom): -5.671

Unit cell a=4.7988 b=4.7988 c=4.6846 alpha=90.00 beta=90.00 gamma=90.00
Closest atoms and distances in Å follow each position.
Space group P4/mmm (No. 123)
Symmetry-distinct sites (fractional):
Y 0.0000 0.5000 0.0000 x2  4 Zr 3.35, 4 Mg 3.35, 4 Y 3.39
Mg 0.0000 0.0000 0.5000 x1  8 Y 3.35, 4 Zr 3.39
Zr 0.5000 0.5000 0.5000 x1  8 Y 3.35, 4 Mg 3.39


(5)
Density functional theory data (PBE) for a relaxed structure of YMg2Zr.

Excess energy over the best structure of this formula in the dataset (meV per atom): 136

Unit cell a=3.2250 b=3.2250 c=33.3383 alpha=90.00 beta=90.00 gamma=120.00
Closest atoms and distances in Å follow each position.
Space group R3m (No. 160, hexagonal axes)
Symmetry-distinct sites (fractional):
Y 0.0000 0.0000 0.0000 x3  6 Y 3.23, 6 Mg 3.43-3.45
Mg 0.0000 0.0000 0.4196 x3  6 Mg 3.23, 3 Zr 3.24, 3 Y 3.43
Mg 0.0000 0.0000 0.5794 x3  6 Mg 3.23, 3 Zr 3.26, 3 Y 3.45
Zr 0.0000 0.0000 0.8326 x3  6 Zr 3.23, 6 Mg 3.24-3.26


(6)
Density functional theory data (PBE) for a relaxed structure of Y2MgZr.

DFT total energy (eV/atom): -5.715

Unit cell a=3.4047 b=3.4047 c=33.1371 alpha=90.00 beta=90.00 gamma=120.00
Closest atoms and distances in Å follow each position.
Space group R-3m (No. 166, hexagonal axes)
Symmetry-distinct sites (fractional):
Y 0.0000 0.0000 0.2476 x6  3 Zr 3.32, 6 Y 3.40, 3 Mg 3.46
Mg 0.0000 0.0000 0.0000 x3  6 Mg 3.40, 6 Y 3.46
Zr 0.0000 0.0000 0.5000 x3  6 Y 3.32, 6 Zr 3.40


no.,total magnetization (μB per formula unit)
1,0.00
2,0.86
3,0.00
4,0.00
5,0.00
6,0.00